Record 1
An optimized crystal structure of PrTmCu3. Source: the Alexandria database, functional PBE.

space-group type = Cmcm (63)
DOS at the Fermi energy = 3.72 states/eV/f.u.

Cell: 12.852 12.852 4.310 Å, 90.00 90.00 163.26°
Atoms (fractional coordinates):
Pr 0.073 0.927 0.750
Pr 0.927 0.073 0.250
Tm 0.206 0.794 0.250
Tm 0.794 0.206 0.750
Cu 0.323 0.677 0.250
Cu 0.378 0.622 0.750
Cu 0.476 0.524 0.750
Cu 0.524 0.476 0.250
Cu 0.622 0.378 0.250
Cu 0.677 0.323 0.750

Record 2
An optimized crystal structure of PrTm3Cu. Source: the Alexandria database, functional PBE.

space-group type = Pm-3m (221)
DOS at the Fermi energy = 5.50 states/eV/f.u.

Cell: 5.326 5.326 5.326 Å, 90.00 90.00 90.00°
Atoms (fractional coordinates):
Pr 0.000 0.000 0.000
Tm 0.000 0.500 0.500
Tm 0.500 0.000 0.500
Tm 0.500 0.500 0.000
Cu 0.500 0.500 0.500

Record 3
An optimized crystal structure of PrTmCu. Source: the Alexandria database, functional PBE.

space-group type = F-43m (216)
DOS at the Fermi energy = 4.18 states/eV/f.u.
relative energy among the computed polymorphs = 4.77 kcal/mol of atoms

Cell: 4.908 4.908 4.908 Å, 60.00 60.00 60.00°
Atoms (fractional coordinates):
Pr 0.000 0.000 0.000
Tm 0.500 0.500 0.500
Cu 0.750 0.750 0.750

Record 4
An optimized crystal structure of PrTm3Cu4. Source: the Alexandria database, functional PBE.

space-group type = P4/mmm (123)
DOS at the Fermi energy = 4.83 states/eV/f.u.

Cell: 4.908 4.908 6.938 Å, 90.00 90.00 90.00°
Atoms (fractional coordinates):
Pr 0.000 0.000 0.000
Tm 0.000 0.000 0.500
Tm 0.500 0.500 0.000
Tm 0.500 0.500 0.500
Cu 0.000 0.500 0.266
Cu 0.000 0.500 0.734
Cu 0.500 0.000 0.266
Cu 0.500 0.000 0.734

DFT formation energy values, unit eV per atom, following the record order: -0.226 0.053 0.077 -0.237.
Spin magnetization values, unit μB per cell, following the record order: 0.00 0.00 0.00 0.00.
E values, unit eV per atom, following the record order: -4.533 -4.405 -4.372 -4.559.